Arrangement a

## ScPd4Au (PBE)

Data for a relaxed structure of ScPd4Au.

Values from the calculation:
- volume (A^3/atom) = 17.10

a b c (Å): 5.2551 5.2551 5.2551
angles (deg): 60.00 60.00 60.00
With the nearest neighbours (Å) after each atom.
Fractional coordinates of all 6 atoms:
Au1 0.0000 0.0000 0.0000  12 Pd 3.08, 4 Sc 3.22
Sc1 0.2500 0.2500 0.2500  12 Pd 3.08, 4 Au 3.22
Pd1 0.6251 0.6251 0.6251  6 Pd 2.63
Pd2 0.1247 0.6251 0.6251  6 Pd 2.63
Pd3 0.6251 0.1247 0.6251  6 Pd 2.63
Pd4 0.6251 0.6251 0.1247  6 Pd 2.63

Arrangement b

## ScPd4Au (PBE)

Data for a relaxed structure of ScPd4Au.

Values from the calculation:
- volume (A^3/atom) = 16.31

a b c (Å): 4.0890 4.0950 6.1906
angles (deg): 90.00 109.28 90.00
With the nearest neighbours (Å) after each atom.
Fractional coordinates of all 6 atoms:
Pd1 0.3321 0.0000 0.6643  8 Pd 2.80-2.89, 2 Au 2.83, 2 Sc 2.84
Pd2 0.6679 0.0000 0.3357  8 Pd 2.80-2.89, 2 Au 2.83, 2 Sc 2.84
Au1 0.0000 0.0000 0.0000  8 Pd 2.81-2.83, 4 Sc 2.89
Sc1 0.5000 0.5000 0.0000  8 Pd 2.81-2.84, 4 Au 2.89
Pd3 0.8354 0.5000 0.6707  2 Sc 2.81, 2 Au 2.81, 8 Pd 2.83-2.89
Pd4 0.1646 0.5000 0.3293  2 Sc 2.81, 2 Au 2.81, 8 Pd 2.83-2.89

It turns out arrangement b is the most stable, with the second structure 139 meV/atom higher.

Arrangement a

## ScPd2Au2 (PBE)

Data for a relaxed structure of ScPd2Au2.

Values from the calculation:
- volume (A^3/atom) = 18.41

a b c (Å): 7.1066 7.1066 3.6447
angles (deg): 90.00 90.00 90.00
With the nearest neighbours (Å) after each atom.
Fractional coordinates of all 10 atoms:
Pd1 0.8397 0.3397 0.5000  6 Au 2.72-2.80
Pd2 0.6603 0.8397 0.5000  6 Au 2.72-2.80
Pd3 0.3397 0.1603 0.5000  6 Au 2.72-2.80
Sc1 0.0000 0.0000 0.0000  4 Au 2.75
Au1 0.3614 0.8614 0.0000  6 Pd 2.72-2.80, 2 Sc 2.75, 1 Au 2.79
Au2 0.1386 0.3614 0.0000  6 Pd 2.72-2.80, 2 Sc 2.75, 1 Au 2.79
Pd4 0.1603 0.6603 0.5000  6 Au 2.72-2.80
Sc2 0.5000 0.5000 0.0000  4 Au 2.75
Au3 0.8614 0.6386 0.0000  6 Pd 2.72-2.80, 2 Sc 2.75, 1 Au 2.79
Au4 0.6386 0.1386 0.0000  6 Pd 2.72-2.80, 2 Sc 2.75, 1 Au 2.79

Arrangement b

## ScPd2Au2 (PBE)

Data for a relaxed structure of ScPd2Au2.

Values from the calculation:
- volume (A^3/atom) = 18.96

a b c (Å): 3.7751 3.7751 7.1661
angles (deg): 74.73 74.73 90.00
With the nearest neighbours (Å) after each atom.
Fractional coordinates of all 5 atoms:
Au1 0.4002 0.4002 0.1997  1 Au 2.66, 4 Pd 2.75
Sc1 0.0000 0.0000 0.0000  8 Au 2.98
Au2 0.5998 0.5998 0.8003  1 Au 2.66, 4 Pd 2.75
Pd1 0.2500 0.7500 0.5000  4 Pd 2.67, 4 Au 2.75
Pd2 0.7500 0.2500 0.5000  4 Pd 2.67, 4 Au 2.75

Arrangement c

## ScPd2Au2 (PBE)

Data for a relaxed structure of ScPd2Au2.

Values from the calculation:
- volume (A^3/atom) = 18.16

a b c (Å): 4.4792 4.4792 10.4535
angles (deg): 90.00 90.00 120.00
With the nearest neighbours (Å) after each atom.
Fractional coordinates of all 10 atoms:
Au1 0.3333 0.6667 0.8930  6 Pd 2.82-2.99, 3 Sc 2.99, 1 Au 2.99
Pd1 0.3333 0.6667 0.2500  3 Sc 2.59
Pd2 0.0000 0.0000 0.0000  2 Sc 2.61, 6 Au 2.82
Au2 0.6667 0.3333 0.1070  6 Pd 2.82-2.99, 3 Sc 2.99, 1 Au 2.99
Au3 0.6667 0.3333 0.3930  6 Pd 2.82-2.99, 3 Sc 2.99, 1 Au 2.99
Sc1 0.0000 0.0000 0.2500  5 Pd 2.59-2.61
Au4 0.3333 0.6667 0.6070  6 Pd 2.82-2.99, 3 Sc 2.99, 1 Au 2.99
Pd3 0.6667 0.3333 0.7500  3 Sc 2.59
Sc2 0.0000 0.0000 0.7500  5 Pd 2.59-2.61
Pd4 0.0000 0.0000 0.5000  2 Sc 2.61, 6 Au 2.82

It turns out arrangement c is the most stable, with the second structure 8 meV/atom higher.

Arrangement a

## ScPd2Au2 (PBE)

Data for a relaxed structure of ScPd2Au2.

Values from the calculation:
- volume (A^3/atom) = 18.23

a b c (Å): 6.8575 6.8575 3.8757
angles (deg): 90.00 90.00 90.00
With the nearest neighbours (Å) after each atom.
Fractional coordinates of all 10 atoms:
Pd1 0.1396 0.3604 0.0000  2 Sc 2.65, 1 Pd 2.71, 6 Au 2.74-2.83
Pd2 0.8604 0.6396 0.0000  2 Sc 2.65, 1 Pd 2.71, 6 Au 2.74-2.83
Au1 0.6601 0.8399 0.5000  6 Pd 2.74-2.83
Sc1 0.0000 0.0000 0.0000  4 Pd 2.65
Sc2 0.5000 0.5000 0.0000  4 Pd 2.65
Au2 0.8399 0.3399 0.5000  6 Pd 2.74-2.83
Pd3 0.6396 0.1396 0.0000  2 Sc 2.65, 1 Pd 2.71, 6 Au 2.74-2.83
Pd4 0.3604 0.8604 0.0000  2 Sc 2.65, 1 Pd 2.71, 6 Au 2.74-2.83
Au3 0.1601 0.6601 0.5000  6 Pd 2.74-2.83
Au4 0.3399 0.1601 0.5000  6 Pd 2.74-2.83

Arrangement b

## ScPd2Au2 (PBE)

Data for a relaxed structure of ScPd2Au2.

Values from the calculation:
- volume (A^3/atom) = 17.19

a b c (Å): 4.0535 5.0384 10.4434
angles (deg): 108.58 78.81 66.28
With the nearest neighbours (Å) after each atom.
Fractional coordinates of all 10 atoms:
Sc1 0.4995 0.7568 0.2442  6 Pd 2.82-2.96, 6 Au 2.88-2.94
Pd1 0.9035 0.2450 0.9481  3 Sc 2.82-2.91, 5 Au 2.86-2.90, 4 Pd 2.89-2.93
Pd2 0.3005 0.7479 0.6512  3 Sc 2.88-2.96, 7 Au 2.89-2.93, 2 Pd 2.89-2.93
Au1 0.7016 0.7441 0.8526  7 Pd 2.86-2.90, 3 Sc 2.88-2.90, 2 Au 2.90-2.93
Pd3 0.6995 0.2521 0.3488  3 Sc 2.88-2.96, 7 Au 2.89-2.93, 2 Pd 2.89-2.93
Sc2 0.5005 0.2432 0.7558  6 Pd 2.82-2.96, 6 Au 2.88-2.94
Au2 0.2984 0.2559 0.1474  7 Pd 2.86-2.90, 3 Sc 2.88-2.90, 2 Au 2.90-2.93
Au3 0.1003 0.2502 0.5491  5 Pd 2.89-2.93, 4 Au 2.89-2.93, 3 Sc 2.94
Pd4 0.0965 0.7550 0.0519  3 Sc 2.82-2.91, 5 Au 2.86-2.90, 4 Pd 2.89-2.93
Au4 0.8997 0.7498 0.4509  5 Pd 2.89-2.93, 4 Au 2.89-2.93, 3 Sc 2.94

It turns out arrangement b is the most stable, with the second structure 160 meV/atom higher.

Arrangement a

## Sc2PdAu2 (PBE)

Data for a relaxed structure of Sc2PdAu2.

Values from the calculation:
- volume (A^3/atom) = 19.83

a b c (Å): 7.6188 7.6188 3.4163
angles (deg): 90.00 90.00 90.00
With the nearest neighbours (Å) after each atom.
Fractional coordinates of all 10 atoms:
Au1 0.8643 0.3643 0.5000  6 Sc 2.77-2.85, 1 Au 2.92
Sc1 0.8378 0.6622 0.0000  6 Au 2.77-2.85, 2 Pd 2.86
Sc2 0.3378 0.8378 0.0000  6 Au 2.77-2.85, 2 Pd 2.86
Au2 0.6357 0.8643 0.5000  6 Sc 2.77-2.85, 1 Au 2.92
Sc3 0.6622 0.1622 0.0000  6 Au 2.77-2.85, 2 Pd 2.86
Pd1 0.0000 0.0000 0.0000  4 Sc 2.86
Sc4 0.1622 0.3378 0.0000  6 Au 2.77-2.85, 2 Pd 2.86
Au3 0.1357 0.6357 0.5000  6 Sc 2.77-2.85, 1 Au 2.92
Pd2 0.5000 0.5000 0.0000  4 Sc 2.86
Au4 0.3643 0.1357 0.5000  6 Sc 2.77-2.85, 1 Au 2.92

Arrangement b

## Sc2PdAu2 (PBE)

Data for a relaxed structure of Sc2PdAu2.

Values from the calculation:
- volume (A^3/atom) = 21.66

a b c (Å): 5.2014 5.2014 5.4360
angles (deg): 61.42 61.42 90.00
With the nearest neighbours (Å) after each atom.
Fractional coordinates of all 5 atoms:
Au1 0.3423 0.3423 0.3154  1 Au 2.53, 4 Sc 2.70, 1 Pd 2.74
Sc1 0.7500 0.2500 0.5000  4 Au 2.70
Pd1 0.0000 0.0000 0.0000  2 Au 2.74
Sc2 0.2500 0.7500 0.5000  4 Au 2.70
Au2 0.6577 0.6577 0.6846  1 Au 2.53, 4 Sc 2.70, 1 Pd 2.74

Arrangement c

## Sc2PdAu2 (PBE)

Data for a relaxed structure of Sc2PdAu2.

Values from the calculation:
- volume (A^3/atom) = 19.48

a b c (Å): 7.4458 7.4458 3.5144
angles (deg): 90.00 90.00 90.00
With the nearest neighbours (Å) after each atom.
Fractional coordinates of all 10 atoms:
Sc1 0.8294 0.3294 0.5000  6 Au 2.72-2.88
Sc2 0.1706 0.6706 0.5000  6 Au 2.72-2.88
Sc3 0.3294 0.1706 0.5000  6 Au 2.72-2.88
Pd1 0.0000 0.0000 0.0000  4 Au 2.91
Pd2 0.5000 0.5000 0.0000  4 Au 2.91
Au1 0.3672 0.8672 0.0000  6 Sc 2.72-2.88, 1 Au 2.80, 2 Pd 2.91
Au2 0.1328 0.3672 0.0000  6 Sc 2.72-2.88, 1 Au 2.80, 2 Pd 2.91
Sc4 0.6706 0.8294 0.5000  6 Au 2.72-2.88
Au3 0.6328 0.1328 0.0000  6 Sc 2.72-2.88, 1 Au 2.80, 2 Pd 2.91
Au4 0.8672 0.6328 0.0000  6 Sc 2.72-2.88, 1 Au 2.80, 2 Pd 2.91

It turns out arrangement c is the most stable, with the second structure 139 meV/atom higher.

Arrangement a

## ScPdAu4 (PBE)

Data for a relaxed structure of ScPdAu4.

Values from the calculation:
- volume (A^3/atom) = 17.71

a b c (Å): 5.0869 5.0867 5.0985
angles (deg): 79.09 79.09 119.60
With the nearest neighbours (Å) after each atom.
Fractional coordinates of all 6 atoms:
Pd1 0.9981 0.5027 0.5013  2 Sc 2.85, 10 Au 2.93-2.94
Sc1 0.4981 0.0028 0.0013  2 Pd 2.85, 10 Au 2.93-2.95
Au1 0.1629 0.3381 0.0012  7 Au 2.85-2.97, 2 Pd 2.93, 3 Sc 2.94-2.95
Au2 0.8334 0.6674 0.0014  7 Au 2.85-2.97, 2 Pd 2.93, 3 Sc 2.94-2.95
Au3 0.3327 0.1679 0.5014  7 Au 2.85-2.96, 2 Sc 2.93, 3 Pd 2.94
Au4 0.6636 0.8374 0.5012  7 Au 2.85-2.96, 2 Sc 2.93-2.94, 3 Pd 2.94

Arrangement b

## ScPdAu4 (PBE)

Data for a relaxed structure of ScPdAu4.

Values from the calculation:
- volume (A^3/atom) = 18.91

a b c (Å): 5.4337 5.4337 5.4337
angles (deg): 60.00 60.00 60.00
With the nearest neighbours (Å) after each atom.
Fractional coordinates of all 6 atoms:
Au1 0.6248 0.6248 0.6248  6 Au 2.71-2.72
Au2 0.6248 0.1255 0.6248  6 Au 2.71-2.72
Au3 0.6248 0.6248 0.1255  6 Au 2.71-2.72
Au4 0.1255 0.6248 0.6248  6 Au 2.71-2.72
Sc1 0.0000 0.0000 0.0000  12 Au 3.19, 4 Pd 3.33
Pd1 0.2500 0.2500 0.2500  12 Au 3.19, 4 Sc 3.33

It turns out arrangement a is the most stable, with the second structure 172 meV/atom higher.

Arrangement a

## ScPdAu (PBE)

Data for a relaxed structure of ScPdAu.

Values from the calculation:
- volume (A^3/atom) = 17.95

a b c (Å): 3.4886 3.4886 5.0666
angles (deg): 110.14 110.14 90.00
With the nearest neighbours (Å) after each atom.
Fractional coordinates of all 3 atoms:
Sc1 0.6125 0.6125 0.2250  5 Pd 2.83-3.05, 5 Au 2.88-2.94
Pd1 0.9569 0.9569 0.9139  5 Sc 2.83-3.05, 5 Au 2.86-2.92
Au1 0.2806 0.2806 0.5611  5 Pd 2.86-2.92, 5 Sc 2.88-2.94

Arrangement b

## ScPdAu (PBE)

Data for a relaxed structure of ScPdAu.

Values from the calculation:
- volume (A^3/atom) = 17.92

a b c (Å): 3.0213 4.5329 4.5329
angles (deg): 120.00 90.00 90.00
With the nearest neighbours (Å) after each atom.
Fractional coordinates of all 3 atoms:
Pd1 0.3690 0.3333 0.6667  3 Sc 2.73, 3 Au 2.83, 2 Pd 3.02
Sc1 0.6216 0.6667 0.3333  3 Pd 2.73, 3 Au 2.87, 2 Sc 3.02
Au1 0.0094 0.0000 0.0000  3 Pd 2.83, 3 Sc 2.87, 2 Au 3.02

It turns out arrangement a is the most stable, with the second structure 172 meV/atom higher.